The following is a PBE with a Hubbard U calculation of a relaxed Rb2HWF6 crystal, from the Alexandria database.

crystal system	tetragonal
SG	I4/mmm (139)
final energy	-4.5930	eV per atom
volume	18.91	Å³ per atom
D(E_F)	26.27	states/eV/f.u.

Lattice parameters (Å, degrees): 6.413 6.413 6.413 119.04 119.04 91.67
Element x y z (fractional)
Rb  0.250  0.750  0.500
Rb  0.750  0.250  0.500
H  0.000  0.000  0.000
W  0.500  0.500  0.000
F  0.277  0.277  0.000
F  0.280  0.280  0.559
F  0.280  0.720  0.000
F  0.720  0.280  0.000
F  0.720  0.720  0.441
F  0.723  0.723  0.000